No. 1
{
  "formula": "Mn4ReIr",
  "functional": "meta-GGA SCAN",
  "state": "PBEsol geometry",
  "lattice_angstrom": [[4.614, 0.000, 0.000], [2.307, 3.996, 0.000], [2.307, 1.332, 3.768]],
  "species": ["Ir", "Mn", "Mn", "Mn", "Mn", "Re"],
  "fractional_positions": [[0.000, 0.000, 0.000], [0.373, 0.373, 0.373], [0.373, 0.373, 0.880], [0.880, 0.373, 0.373], [0.373, 0.880, 0.373], [0.750, 0.750, 0.750]],
  "ef_ev_per_atom": -0.04,
  "energy_ev_per_atom": -35.91,
  "total_magnetization_mub_per_cell": 3.079
}

No. 2
{
  "formula": "MnReIr2",
  "functional": "meta-GGA SCAN",
  "state": "PBEsol geometry",
  "lattice_angstrom": [[4.312, 0.000, 0.000], [2.156, 3.734, 0.000], [2.156, 1.245, 3.521]],
  "species": ["Ir", "Ir", "Mn", "Re"],
  "fractional_positions": [[0.250, 0.250, 0.250], [0.750, 0.750, 0.750], [0.000, 0.000, 0.000], [0.500, 0.500, 0.500]],
  "de_polymorph_mev_per_atom": 450,
  "ef_ev_per_atom": 0.10,
  "energy_ev_per_atom": -57.79,
  "total_magnetization_mub_per_cell": 5.039
}

No. 3
{
  "formula": "Mn2ReIr",
  "functional": "meta-GGA SCAN",
  "state": "PBEsol geometry",
  "lattice_angstrom": [[-3.075, -0.203, -1.861], [1.577, -2.435, -2.339], [-1.127, -2.813, 2.169]],
  "species": ["Re", "Ir", "Mn", "Mn"],
  "fractional_positions": [[0.500, 0.500, 0.500], [0.500, 0.000, 0.000], [0.000, 0.000, 0.500], [0.000, 0.500, 0.000]],
  "ef_ev_per_atom": -0.17,
  "energy_ev_per_atom": -44.85,
  "total_magnetization_mub_per_cell": 2.360
}

No. 4
{
  "formula": "MnReIr2",
  "functional": "meta-GGA SCAN",
  "state": "PBEsol geometry",
  "lattice_angstrom": [[2.688, 0.000, 0.000], [0.000, 4.627, -0.007], [0.000, -1.524, 4.369]],
  "species": ["Re", "Ir", "Ir", "Mn"],
  "fractional_positions": [[0.500, 0.000, 0.000], [0.000, 0.000, 0.500], [0.000, 0.500, 0.000], [0.500, 0.500, 0.500]],
  "de_polymorph_mev_per_atom": 29,
  "ef_ev_per_atom": -0.33,
  "energy_ev_per_atom": -58.21,
  "total_magnetization_mub_per_cell": 2.298
}

No. 5
{
  "formula": "Mn2ReIr",
  "functional": "meta-GGA SCAN",
  "state": "PBEsol geometry",
  "lattice_angstrom": [[-1.351, -0.876, 2.087], [1.079, -1.782, 1.615], [3.117, 5.282, 5.899]],
  "species": ["Ir", "Mn", "Mn", "Re"],
  "fractional_positions": [[0.254, 0.254, 0.238], [0.005, 0.005, 0.986], [0.745, 0.745, 0.764], [0.496, 0.496, 0.512]],
  "ef_ev_per_atom": -0.02,
  "energy_ev_per_atom": -44.70,
  "total_magnetization_mub_per_cell": 0.410
}

No. 6
{
  "formula": "MnReIr2",
  "functional": "meta-GGA SCAN",
  "state": "PBEsol geometry",
  "lattice_angstrom": [[2.693, 0.000, 0.000], [0.000, 3.772, 0.000], [0.000, 0.000, 5.342]],
  "species": ["Re", "Ir", "Ir", "Mn"],
  "fractional_positions": [[0.500, 0.500, 0.500], [0.000, 0.000, 0.754], [0.000, 0.000, 0.246], [0.500, 0.500, 0.000]],
  "de_polymorph_mev_per_atom": 0,
  "ef_ev_per_atom": -0.35,
  "energy_ev_per_atom": -58.24,
  "total_magnetization_mub_per_cell": 2.964
}